# HoZn2GeO6 PBE optimized geometry
# - V (Å³ per atom) = 13.672
# - energy relative to the elements, uncorrected (kJ/mol of formula units) = -1751
data_HoZn2GeO6
_symmetry_space_group_name_H-M 'C 1 2/c 1'
_symmetry_Int_Tables_number 15
_symmetry_space_group_name_Hall '-C 2yc'
_cell_length_a 11.4288
_cell_length_b 8.1010
_cell_length_c 6.5083
_cell_angle_alpha 90.00
_cell_angle_beta 114.83
_cell_angle_gamma 90.00
loop_
_atom_site_label
_atom_site_type_symbol
_atom_site_fract_x
_atom_site_fract_y
_atom_site_fract_z
Ho1 Ho 0.0000 0.1972 0.2500
Zn1 Zn 0.2069 0.4594 0.1860
Ge1 Ge 0.0000 0.1873 0.7500
O1 O 0.0741 0.2980 0.0016
O2 O 0.1037 0.0475 0.6948
O3 O 0.1689 0.3743 0.4438